A plane-wave DFT calculation with GGA-PBE was carried out for a relaxed Pm4CdRhAu2 crystal.

Values from the calculation:
total magnetic moment	0.000	μB per formula unit

```
Pm4CdRhAu2
1.0
5.228 0.000 0.000
2.614 4.528 0.000
2.614 1.509 8.434
Pm Cd Rh Au
4 1 1 2
Direct
0.385 0.385 0.846 Pm
0.867 0.867 0.398 Pm
0.133 0.133 0.602 Pm
0.615 0.615 0.154 Pm
0.000 0.000 0.000 Cd
0.500 0.500 0.500 Rh
0.739 0.739 0.784 Au
0.261 0.261 0.216 Au
```

---

A plane-wave DFT calculation with GGA-PBE was carried out for a relaxed CdPt5 crystal.

Values from the calculation:
total magnetic moment	0.000	μB per formula unit

```
CdPt5
1.0
-4.529 -5.216 -2.942
5.633 4.948 0.399
2.884 -3.413 1.611
Cd Pt
1 5
Direct
0.998 0.002 0.000 Cd
0.224 0.776 0.500 Pt
0.330 0.670 0.000 Pt
0.559 0.441 0.500 Pt
0.666 0.334 0.000 Pt
0.889 0.111 0.500 Pt
```

---

no.,ΔH_f (0 K) (eV per atom)
1,-0.65
2,-0.07